No. 1
Nd2SmSc4 (PBE, optimized geometry); ΔH_f (0 K) = 193 meV/atom; electronic total energy = -5.462 eV per atom; space-group type = No. 1
1.0
-8.104 -1.822 1.998
3.180 -7.531 2.464
0.643 8.033 2.816
Nd Sm Sc
4 2 8
direct
0.668 0.270 0.629 Nd
0.582 0.711 0.102 Nd
0.625 0.359 0.234 Nd
0.124 0.362 0.737 Nd
0.109 0.711 0.626 Sm
0.141 0.267 0.102 Sm
0.878 0.129 0.255 Sc
0.375 0.701 0.327 Sc
0.875 0.702 0.826 Sc
0.764 0.967 0.705 Sc
0.267 0.018 0.251 Sc
0.372 0.127 0.751 Sc
0.486 0.691 0.703 Sc
0.983 0.733 0.251 Sc

No. 2
Pm2GdH (PBE, optimized geometry); electronic total energy = -6.636 eV per atom; E above lowest polymorph = 255 meV/atom; space-group type = No. 123
1.0
-2.376 -1.795 1.668
0.896 -2.799 -1.735
5.787 -1.954 6.139
H Gd Pm
1 1 2
direct
0.500 0.500 0.000 H
0.500 0.500 0.500 Gd
0.000 0.000 0.812 Pm
0.000 0.000 0.188 Pm

Which value of electronic total energy does entry 2 give?
-6.636 eV per atom

What is the formula in the first record?
Nd2SmSc4

What is the electronic total energy in the first record?
-5.462 eV per atom

Repeat the first record exactly.
Nd2SmSc4 (PBE, optimized geometry); ΔH_f (0 K) = 193 meV/atom; electronic total energy = -5.462 eV per atom; space-group type = No. 1
1.0
-8.104 -1.822 1.998
3.180 -7.531 2.464
0.643 8.033 2.816
Nd Sm Sc
4 2 8
direct
0.668 0.270 0.629 Nd
0.582 0.711 0.102 Nd
0.625 0.359 0.234 Nd
0.124 0.362 0.737 Nd
0.109 0.711 0.626 Sm
0.141 0.267 0.102 Sm
0.878 0.129 0.255 Sc
0.375 0.701 0.327 Sc
0.875 0.702 0.826 Sc
0.764 0.967 0.705 Sc
0.267 0.018 0.251 Sc
0.372 0.127 0.751 Sc
0.486 0.691 0.703 Sc
0.983 0.733 0.251 Sc